1.
# NaHfGa, relaxed, DFT PBE-GGA
# **ΔE to the lowest computed polymorph**: 0.099 eV/atom
# **Formation enthalpy at 0 K**: -29 meV/atom
# **ρ**: 5.68 Mg/m³
data_NaHfGa
_chemical_formula_sum 'Na2 Hf2 Ga2'
_space_group_name_H-M_alt 'P m m 2'
_space_group_IT_number 25
_cell_length_a 3.5715
_cell_length_b 4.2378
_cell_length_c 10.4700
_cell_angle_alpha 90.00
_cell_angle_beta 90.00
_cell_angle_gamma 90.00
loop_
_space_group_symop_operation_xyz
'x,y,z'
'-x,-y,z'
'-x,y,z'
'x,-y,z'
loop_
_atom_site_label
_atom_site_type_symbol
_atom_site_fract_x
_atom_site_fract_y
_atom_site_fract_z
_atom_site_occupancy
Na1 Na 0.0000 0.0000 0.0000 1
Na2 Na 0.5000 0.5000 0.2448 1
Hf1 Hf 0.0000 0.0000 0.4904 1
Hf2 Hf 0.5000 0.0000 0.7195 1
Ga1 Ga 0.0000 0.5000 0.7256 1
Ga2 Ga 0.5000 0.5000 0.5229 1

---

2.
# NaHfGa, relaxed, DFT PBE-GGA
# **ΔE to the lowest computed polymorph**: 0.188 eV/atom
# **Formation enthalpy at 0 K**: 60 meV/atom
# **ρ**: 7.51 Mg/m³
data_NaHfGa
_chemical_formula_sum 'Na2 Hf2 Ga2'
_space_group_name_H-M_alt 'P 63/m m c'
_space_group_IT_number 194
_space_group_name_Hall '-P 6c 2c'
_cell_length_a 4.9373
_cell_length_b 4.9373
_cell_length_c 5.6778
_cell_angle_alpha 90.00
_cell_angle_beta 90.00
_cell_angle_gamma 120.00
loop_
_atom_site_label
_atom_site_type_symbol
_atom_site_fract_x
_atom_site_fract_y
_atom_site_fract_z
_atom_site_occupancy
Na1 Na 0.0000 0.0000 0.0000 1
Hf1 Hf 0.3333 0.6667 0.2500 1
Ga1 Ga 0.3333 0.6667 0.7500 1

---

3.
# NaHfGa, relaxed, DFT PBE-GGA
# **ΔE to the lowest computed polymorph**: 0.558 eV/atom
# **Formation enthalpy at 0 K**: 429 meV/atom
# **ρ**: 6.37 Mg/m³
data_NaHfGa
_chemical_formula_sum 'Na4 Hf4 Ga4'
_space_group_name_H-M_alt 'F -4 3 m'
_space_group_IT_number 216
_space_group_name_Hall 'F -4 2 3'
_cell_length_a 6.5651
_cell_length_b 6.5651
_cell_length_c 6.5651
_cell_angle_alpha 90.00
_cell_angle_beta 90.00
_cell_angle_gamma 90.00
loop_
_atom_site_label
_atom_site_type_symbol
_atom_site_fract_x
_atom_site_fract_y
_atom_site_fract_z
_atom_site_occupancy
Na1 Na 0.0000 0.0000 0.0000 1
Hf1 Hf 0.0000 0.0000 0.5000 1
Ga1 Ga 0.2500 0.2500 0.2500 1

---

4.
# NaHfGa, relaxed, DFT PBE-GGA
# **ΔE to the lowest computed polymorph**: 0.068 eV/atom
# **Formation enthalpy at 0 K**: -60 meV/atom
# **ρ**: 7.03 Mg/m³
data_NaHfGa
_chemical_formula_sum 'Na2 Hf2 Ga2'
_space_group_name_H-M_alt 'P 1 21/m 1'
_space_group_IT_number 11
_cell_length_a 3.2372
_cell_length_b 4.3497
_cell_length_c 9.0977
_cell_angle_alpha 90.00
_cell_angle_beta 90.29
_cell_angle_gamma 90.00
loop_
_space_group_symop_operation_xyz
'x,y,z'
'-x,-y,-z'
'-x,y+1/2,-z'
'x,-y+1/2,z'
loop_
_atom_site_label
_atom_site_type_symbol
_atom_site_fract_x
_atom_site_fract_y
_atom_site_fract_z
_atom_site_occupancy
Na1 Na 0.2487 0.2500 0.4330 1
Hf1 Hf 0.2486 0.7500 0.9009 1
Ga1 Ga 0.2540 0.7500 0.2147 1

---

5.
# NaHfGa3, relaxed, DFT PBE-GGA
# **ΔE to the lowest computed polymorph**: 0.000 eV/atom
# **Formation enthalpy at 0 K**: 331 meV/atom
# **ρ**: 4.68 Mg/m³
data_NaHfGa3
_chemical_formula_sum 'Na1 Hf1 Ga3'
_space_group_name_H-M_alt 'P m -3 m'
_space_group_IT_number 221
_space_group_name_Hall '-P 4 2 3'
_cell_length_a 5.2631
_cell_length_b 5.2631
_cell_length_c 5.2631
_cell_angle_alpha 90.00
_cell_angle_beta 90.00
_cell_angle_gamma 90.00
loop_
_atom_site_label
_atom_site_type_symbol
_atom_site_fract_x
_atom_site_fract_y
_atom_site_fract_z
_atom_site_occupancy
Na1 Na 0.0000 0.0000 0.0000 1
Hf1 Hf 0.5000 0.5000 0.5000 1
Ga1 Ga 0.0000 0.5000 0.5000 1

---

6.
# NaHfGa, relaxed, DFT PBE-GGA
# **ΔE to the lowest computed polymorph**: 0.515 eV/atom
# **Formation enthalpy at 0 K**: 386 meV/atom
# **ρ**: 5.20 Mg/m³
data_NaHfGa
_chemical_formula_sum 'Na2 Hf2 Ga2'
_space_group_name_H-M_alt 'P 4/n m m'
_space_group_IT_number 129
_cell_length_a 4.9945
_cell_length_b 4.9945
_cell_length_c 6.9488
_cell_angle_alpha 90.00
_cell_angle_beta 90.00
_cell_angle_gamma 90.00
loop_
_space_group_symop_operation_xyz
'x,y,z'
'-x,-y,-z'
'-y+1/2,x,z'
'y+1/2,-x,-z'
'-x+1/2,-y+1/2,z'
'x+1/2,y+1/2,-z'
'y,-x+1/2,z'
'-y,x+1/2,-z'
'x+1/2,-y,-z'
'-x+1/2,y,z'
'-y,-x,-z'
'y,x,z'
'-x,y+1/2,-z'
'x,-y+1/2,z'
'y+1/2,x+1/2,-z'
'-y+1/2,-x+1/2,z'
loop_
_atom_site_label
_atom_site_type_symbol
_atom_site_fract_x
_atom_site_fract_y
_atom_site_fract_z
_atom_site_occupancy
Na1 Na 0.2500 0.2500 0.1566 1
Hf1 Hf 0.2500 0.2500 0.6247 1
Ga1 Ga 0.2500 0.7500 0.5000 1

---

7.
# NaHf2Ga2, relaxed, DFT PBE-GGA
# **ΔE to the lowest computed polymorph**: 0.028 eV/atom
# **Formation enthalpy at 0 K**: -109 meV/atom
# **ρ**: 8.20 Mg/m³
data_NaHf2Ga2
_chemical_formula_sum 'Na2 Hf4 Ga4'
_space_group_name_H-M_alt 'P 4/m b m'
_space_group_IT_number 127
_space_group_name_Hall '-P 4 2ab'
_cell_length_a 8.4534
_cell_length_b 8.4534
_cell_length_c 2.9434
_cell_angle_alpha 90.00
_cell_angle_beta 90.00
_cell_angle_gamma 90.00
loop_
_atom_site_label
_atom_site_type_symbol
_atom_site_fract_x
_atom_site_fract_y
_atom_site_fract_z
_atom_site_occupancy
Na1 Na 0.0000 0.0000 0.0000 1
Hf1 Hf 0.1278 0.3722 0.0000 1
Ga1 Ga 0.1685 0.6685 0.5000 1

---

8.
# Na2HfGa, relaxed, DFT PBE-GGA
# **Formation enthalpy at 0 K**: 662 meV/atom
# **ρ**: 4.83 Mg/m³
data_Na2HfGa
_chemical_formula_sum 'Na8 Hf4 Ga4'
_space_group_name_H-M_alt 'I -4 2 d'
_space_group_IT_number 122
_space_group_name_Hall 'I -4 2bw'
_cell_length_a 8.5052
_cell_length_b 8.5052
_cell_length_c 5.5898
_cell_angle_alpha 90.00
_cell_angle_beta 90.00
_cell_angle_gamma 90.00
loop_
_atom_site_label
_atom_site_type_symbol
_atom_site_fract_x
_atom_site_fract_y
_atom_site_fract_z
_atom_site_occupancy
Na1 Na 0.2111 0.2500 0.1250 1
Hf1 Hf 0.0000 0.0000 0.5000 1
Ga1 Ga 0.0000 0.0000 0.0000 1

---

9.
# NaHf2GaNi, relaxed, DFT PBE-GGA
# **Formation enthalpy at 0 K**: 301 meV/atom
# **ρ**: 7.76 Mg/m³
data_NaHf2GaNi
_chemical_formula_sum 'Na1 Hf2 Ga1 Ni1'
_space_group_name_H-M_alt 'P 4/m m m'
_space_group_IT_number 123
_space_group_name_Hall '-P 4 2'
_cell_length_a 4.8804
_cell_length_b 4.8804
_cell_length_c 4.5703
_cell_angle_alpha 90.00
_cell_angle_beta 90.00
_cell_angle_gamma 90.00
loop_
_atom_site_label
_atom_site_type_symbol
_atom_site_fract_x
_atom_site_fract_y
_atom_site_fract_z
_atom_site_occupancy
Na1 Na 0.0000 0.0000 0.0000 1
Hf1 Hf 0.0000 0.5000 0.5000 1
Ga1 Ga 0.5000 0.5000 0.0000 1
Ni1 Ni 0.5000 0.5000 0.5000 1

---

10.
# Na2HfGa2O6, relaxed, DFT PBE-GGA
# **Formation energy without anion corrections**: -2.216 eV/atom
# **ρ**: 5.55 Mg/m³
data_Na2HfGa2O6
_chemical_formula_sum 'Na2 Hf1 Ga2 O6'
_space_group_name_H-M_alt 'P -3 1 m'
_space_group_IT_number 162
_space_group_name_Hall '-P 3 2'
_cell_length_a 5.2770
_cell_length_b 5.2770
_cell_length_c 5.7050
_cell_angle_alpha 90.00
_cell_angle_beta 90.00
_cell_angle_gamma 120.00
loop_
_atom_site_label
_atom_site_type_symbol
_atom_site_fract_x
_atom_site_fract_y
_atom_site_fract_z
_atom_site_occupancy
Na1 Na 0.3333 0.6667 0.0000 1
Hf1 Hf 0.0000 0.0000 0.5000 1
Ga1 Ga 0.3333 0.6667 0.5000 1
O1 O 0.0000 0.3444 0.6890 1

---

11.
# Na2HfGaO4, relaxed, DFT PBE-GGA
# **Formation energy without anion corrections**: -1.907 eV/atom
# **ρ**: 5.24 Mg/m³
data_Na2HfGaO4
_chemical_formula_sum 'Na4 Hf2 Ga2 O8'
_space_group_name_H-M_alt 'I -4 2 m'
_space_group_IT_number 121
_space_group_name_Hall 'I -4 2'
_cell_length_a 6.2879
_cell_length_b 6.2879
_cell_length_c 5.7465
_cell_angle_alpha 90.00
_cell_angle_beta 90.00
_cell_angle_gamma 90.00
loop_
_atom_site_label
_atom_site_type_symbol
_atom_site_fract_x
_atom_site_fract_y
_atom_site_fract_z
_atom_site_occupancy
Na1 Na 0.0000 0.5000 0.0000 1
Hf1 Hf 0.0000 0.0000 0.0000 1
Ga1 Ga 0.0000 0.0000 0.5000 1
O1 O 0.1607 0.1607 0.2417 1

---

12.
# NaHfGaO4, relaxed, DFT PBE-GGA
# **Formation energy without anion corrections**: -2.363 eV/atom
# **ρ**: 5.48 Mg/m³
data_NaHfGaO4
_chemical_formula_sum 'Na4 Hf4 Ga4 O16'
_space_group_name_H-M_alt 'C m c m'
_space_group_IT_number 63
_space_group_name_Hall '-C 2c 2'
_cell_length_a 6.3819
_cell_length_b 9.6762
_cell_length_c 6.5804
_cell_angle_alpha 90.00
_cell_angle_beta 90.00
_cell_angle_gamma 90.00
loop_
_atom_site_label
_atom_site_type_symbol
_atom_site_fract_x
_atom_site_fract_y
_atom_site_fract_z
_atom_site_occupancy
Na1 Na 0.0000 0.0000 0.0000 1
Hf1 Hf 0.0000 0.3577 0.2500 1
Ga1 Ga 0.0000 0.3537 0.7500 1
O1 O 0.0000 0.2553 0.5119 1
O2 O 0.2134 0.4960 0.7500 1